A relaxed Hg2PCl crystal, computed with PBE.

Computed properties:
* formation energy (no corrections): 0.076 eV per atom
* distance to the lowest polymorph of the same formula: 0.3325 eV/atom

Lattice parameters (Å, degrees): 4.0552 4.0549 5.5954 90.00 90.00 90.00
Closest atoms and distances in Å follow each position.
Sites, in units of the cell vectors:
Hg 0.5000 0.5000 0.3753  2 Cl 2.80, 4 P 2.87
Hg 0.0000 0.0000 0.8744  2 P 2.79-2.80, 4 Cl 2.87
Cl 0.5000 0.5000 0.8754  6 Hg 2.80-2.87
P 0.0000 0.0000 0.3749  6 Hg 2.79-2.87

---

A relaxed NbCoTe2I crystal, computed with PBE.

Computed properties:
* formation energy (no corrections): 0.800 eV per atom
* distance to the lowest polymorph of the same formula: 0.0503 eV/atom

Lattice parameters (Å, degrees): 5.3994 5.3994 5.6740 90.00 90.00 90.00
Closest atoms and distances in Å follow each position.
Sites, in units of the cell vectors:
Te 0.0000 0.5000 0.0000  2 Nb 2.70
Te 0.5000 0.0000 0.0000  2 Nb 2.70
Nb 0.0000 0.0000 0.0000  4 Te 2.70, 2 I 2.84
Co 0.5000 0.5000 0.5000  4 I 3.82, 8 Te 3.92
I 0.0000 0.0000 0.5000  2 Nb 2.84

---

A relaxed NdSmTm2Bi4 crystal, computed with PBE.

Computed properties:
* calculated formation energy: -6.85 eV per formula unit

Lattice parameters (Å, degrees): 4.5154 7.8010 7.8148 70.49 90.00 90.00
Closest atoms and distances in Å follow each position.
Sites, in units of the cell vectors:
Tm 0.0000 0.0000 0.0000  6 Bi 3.15
Tm 0.5000 0.0000 0.5000  6 Bi 3.14
Sm 0.0000 0.5000 0.5000  6 Bi 3.23
Bi 0.5000 0.7600 0.2481  3 Tm 3.14-3.15, 2 Sm 3.23, 1 Nd 3.24
Bi 0.0000 0.2390 0.2551  3 Tm 3.14-3.15, 1 Sm 3.23, 2 Nd 3.24
Bi 0.5000 0.2400 0.7519  3 Tm 3.14-3.15, 2 Sm 3.23, 1 Nd 3.24
Bi 0.0000 0.7610 0.7449  3 Tm 3.14-3.15, 1 Sm 3.23, 2 Nd 3.24
Nd 0.5000 0.5000 0.0000  6 Bi 3.24

---

A relaxed La2TlGe crystal, computed with PBE.

Computed properties:
* calculated formation energy: -2.04 eV per formula unit

Lattice parameters (Å, degrees): 4.3679 4.3679 8.5369 75.18 75.18 60.00
Closest atoms and distances in Å follow each position.
Sites, in units of the cell vectors:
La 0.2638 0.2638 0.2086  3 Ge 3.04
La 0.7362 0.7362 0.7914  3 Ge 3.04
Tl 0.5000 0.5000 0.5000  6 La 3.47
Ge 0.0000 0.0000 0.0000  6 La 3.04

---

A relaxed MnCuCSeN crystal, computed with PBE.

Computed properties:
* formation energy (no corrections): 0.170 eV per atom
* distance to the lowest polymorph of the same formula: 0.0596 eV/atom

Lattice parameters (Å, degrees): 5.9097 3.1143 7.8518 90.00 94.02 90.00
Closest atoms and distances in Å follow each position.
Sites, in units of the cell vectors:
N 0.1481 0.0000 0.2333  1 C 1.26
N 0.1481 0.5000 0.7333  1 C 1.26
Mn 0.3042 0.0000 0.8768  1 C 1.99, 2 N 2.10
Mn 0.3042 0.5000 0.3768  1 C 1.99, 2 N 2.10
Cu 0.9476 0.5000 0.9396  1 N 2.07, 2 C 2.07
Cu 0.9476 0.0000 0.4396  1 N 2.07, 2 C 2.07
Se 0.5680 0.0000 0.5183  1 Cu 2.37, 2 Mn 2.42
Se 0.5680 0.5000 0.0183  1 Cu 2.37, 2 Mn 2.42
C 0.1091 0.5000 0.5739  1 N 1.26
C 0.1091 0.0000 0.0739  1 N 1.26

---

A relaxed Pm6P2PdS3 crystal, computed with PBE.

Computed properties:
* formation energy (no corrections): -1.671 eV per atom

Lattice parameters (Å, degrees): 4.0812 8.2378 9.1625 102.97 102.87 90.00
Closest atoms and distances in Å follow each position.
Sites, in units of the cell vectors:
Pd 0.5000 0.0000 0.0000  6 Pm 2.93-2.95
P 0.8337 0.6666 0.6674  6 Pm 2.87
P 0.1663 0.3334 0.3326  6 Pm 2.87
S 0.5000 0.5000 0.0000  6 Pm 2.87-2.93
S 0.8329 0.1663 0.6658  6 Pm 2.83-2.93
S 0.1671 0.8337 0.3342  6 Pm 2.83-2.93
Pm 0.3301 0.9097 0.6603  3 S 2.83-2.93, 2 P 2.87, 1 Pd 2.95
Pm 0.9986 0.7434 0.9972  3 S 2.87-2.93, 1 P 2.87, 2 Pd 2.93
Pm 0.6688 0.5800 0.3376  3 P 2.87, 3 S 2.93
Pm 0.6699 0.0903 0.3397  3 S 2.83-2.93, 2 P 2.87, 1 Pd 2.95
Pm 0.0014 0.2566 0.0028  3 S 2.87-2.93, 1 P 2.87, 2 Pd 2.93
Pm 0.3312 0.4200 0.6624  3 P 2.87, 3 S 2.93

---

A relaxed LiCd3Cl6 crystal, computed with PBE.

Computed properties:
* formation energy (no corrections): -1.034 eV per atom

Lattice parameters (Å, degrees): 7.9850 7.9850 7.9850 93.24 93.24 93.24
Closest atoms and distances in Å follow each position.
Sites, in units of the cell vectors:
Cl 0.4047 0.1906 0.5392  1 Li 2.58, 3 Cd 2.69-2.81
Cl 0.9124 0.6906 0.0807  1 Li 2.65, 3 Cd 2.68-2.96
Cl 0.0807 0.9124 0.6906  1 Li 2.65, 3 Cd 2.68-2.96
Cl 0.6906 0.0807 0.9124  1 Li 2.65, 3 Cd 2.68-2.96
Cl 0.4608 0.5953 0.8094  1 Li 2.58, 3 Cd 2.69-2.81
Cl 0.9193 0.0876 0.3094  1 Li 2.65, 3 Cd 2.68-2.96
Cl 0.8094 0.4608 0.5953  1 Li 2.58, 3 Cd 2.69-2.81
Cl 0.1906 0.5392 0.4047  1 Li 2.58, 3 Cd 2.69-2.81
Cl 0.5392 0.4047 0.1906  1 Li 2.58, 3 Cd 2.69-2.81
Cl 0.0876 0.3094 0.9193  1 Li 2.65, 3 Cd 2.68-2.96
Cl 0.5953 0.8094 0.4608  1 Li 2.58, 3 Cd 2.69-2.81
Cl 0.3094 0.9193 0.0876  1 Li 2.65, 3 Cd 2.68-2.96
Cd 0.7414 0.4251 0.9180  6 Cl 2.68-2.96
Cd 0.0820 0.2586 0.5749  6 Cl 2.68-2.96
Cd 0.4251 0.9180 0.7414  6 Cl 2.68-2.96
Cd 0.9180 0.7414 0.4251  6 Cl 2.68-2.96
Cd 0.2586 0.5749 0.0820  6 Cl 2.68-2.96
Cd 0.5749 0.0820 0.2586  6 Cl 2.68-2.96
Li 0.5000 0.5000 0.5000  6 Cl 2.58
Li 0.0000 0.0000 0.0000  6 Cl 2.65

---

A relaxed BaCdIr crystal, computed with PBE.

Computed properties:
* calculated formation energy: -0.25 eV per formula unit

Lattice parameters (Å, degrees): 5.2532 6.0224 6.2993 75.02 75.15 89.80
Closest atoms and distances in Å follow each position.
Sites, in units of the cell vectors:
Ir 0.6015 0.8553 0.1370  1 Ir 2.56, 3 Cd 2.69-2.86
Ir 0.3985 0.1447 0.8630  1 Ir 2.56, 3 Cd 2.69-2.86
Cd 0.0615 0.8284 0.2519  3 Ir 2.69-2.86
Cd 0.9385 0.1716 0.7481  3 Ir 2.69-2.86
Ba 0.4082 0.6872 0.7170  4 Ir 3.12-3.44
Ba 0.5918 0.3128 0.2830  4 Ir 3.12-3.44